Entry 1:
Below is an optimized crystal structure of ErFe2Co, with properties calculated at the PBE level.

* energy of formation: -14.4 kJ per mole of atoms
* total magnetic moment: 16.54 Bohr magnetons per cell
* electronic total energy: -7.298 eV per atom
* space-group type: No. 166

Unit cell a=5.050 b=5.050 c=8.613 alpha=72.95 beta=72.95 gamma=60.00
Site moments in Bohr magnetons follow the coordinates.
Fractional positions:
Fe 0.082 0.582 0.754  2.32
Fe 0.418 0.418 0.246  2.32
Fe 0.582 0.082 0.754  2.32
Fe 0.418 0.918 0.246  2.32
Fe 0.582 0.582 0.754  2.32
Fe 0.918 0.418 0.246  2.32
Er 0.858 0.858 0.426  -0.60
Er 0.142 0.142 0.574  -0.60
Er 0.000 0.000 0.000  -0.45
Co 0.500 0.500 0.500  1.30
Co 0.332 0.332 0.003  1.52
Co 0.668 0.668 0.997  1.52

=====

Entry 2:
Below is an optimized crystal structure of CeNd2Sb, with properties calculated at the PBE level.

* total magnetic moment: 0.65 Bohr magnetons per cell
* electronic total energy: -5.352 eV per atom
* space-group type: No. 123
* formation energy (no corrections): -0.45 eV per atom

Unit cell a=4.067 b=4.067 c=7.332 alpha=90.00 beta=90.00 gamma=90.00
Site moments in Bohr magnetons follow the coordinates.
Fractional positions:
Nd 0.000 0.000 0.776  0.00
Nd 0.000 0.000 0.224  0.00
Sb 0.500 0.500 0.000  -0.01
Ce 0.500 0.500 0.500  0.54

=====

Entry 3:
Below is an optimized crystal structure of Pr5Er3S8, with properties calculated at the PBE level.

* total magnetic moment: 0.00 Bohr magnetons per cell
* electronic total energy: -6.405 eV per atom
* space-group type: No. 166
* formation energy (no corrections): -1.99 eV per atom

Unit cell a=7.972 b=7.972 c=8.107 alpha=60.55 beta=60.55 gamma=60.00
Fractional positions:
Pr 0.500 0.500 0.500
Pr 0.500 0.000 0.000
Pr 0.000 0.000 0.000
Pr 0.000 0.500 0.000
Pr 0.500 0.500 0.000
S 0.234 0.750 0.267
S 0.750 0.750 0.267
S 0.250 0.250 0.733
S 0.750 0.234 0.267
S 0.242 0.242 0.274
S 0.758 0.758 0.726
S 0.766 0.250 0.733
S 0.250 0.766 0.733
Er 0.000 0.500 0.500
Er 0.500 0.000 0.500
Er 0.000 0.000 0.500